{"formula": "TlHgB", "functional": "PBE", "state": "optimized geometry", "cell": [[7.6675, -0.1063, 0.0535], [-2.8700, 5.0620, -0.0497], [2.8312, -2.1219, 4.4553]], "species": ["Tl", "Tl", "B", "B", "Hg", "Hg"], "frac_coords": [[0.4110, 0.3499, 0.5608], [0.7768, 0.1110, 0.8515], [0.0786, 0.8861, 0.3375], [0.0844, 0.1486, 0.3286], [0.3251, 0.9356, 0.8088], [0.0803, 0.5200, 0.3376]], "sg": "P1"}



{"formula": "K2AgRuCl6", "functional": "PBE", "state": "optimized geometry", "cell": [[-3.2619, -5.7106, -2.4891], [2.6832, -6.3871, 1.2048], [-6.9803, -4.8517, 10.3458]], "species": ["K", "K", "K", "K", "Ag", "Ag", "Ru", "Ru", "Cl", "Cl", "Cl", "Cl", "Cl", "Cl", "Cl", "Cl", "Cl", "Cl", "Cl", "Cl"], "frac_coords": [[0.8676, 0.8676, 0.3973], [0.1324, 0.1324, 0.6027], [0.6967, 0.6967, 0.9099], [0.3033, 0.3033, 0.0901], [0.5867, 0.5867, 0.2399], [0.4133, 0.4133, 0.7601], [0.0000, 0.0000, 0.0000], [0.5000, 0.5000, 0.5000], [0.8562, 0.3765, 0.3909], [0.3765, 0.8562, 0.3909], [0.3765, 0.3765, 0.3909], [0.1438, 0.6235, 0.6091], [0.6235, 0.1438, 0.6091], [0.6235, 0.6235, 0.6091], [0.7172, 0.1960, 0.8907], [0.1960, 0.7172, 0.8907], [0.1960, 0.1960, 0.8907], [0.2828, 0.8040, 0.1093], [0.8040, 0.2828, 0.1093], [0.8040, 0.8040, 0.1093]], "sg": "R-3m"}



{"formula": "Sr3HfAg", "functional": "PBE", "state": "optimized geometry", "cell": [[-2.5971, 4.8893, 2.2700], [-5.3802, -2.1949, -1.4279], [-0.3341, -2.6609, 5.3490]], "species": ["Sr", "Sr", "Sr", "Hf", "Ag"], "frac_coords": [[0.0000, 0.5000, 0.0000], [0.0000, 0.0000, 0.5000], [0.5000, 0.0000, 0.0000], [0.5000, 0.5000, 0.5000], [0.0000, 0.0000, 0.0000]], "polymorph_energy_mev_per_atom": 0, "sg": "Pm-3m"}



{"formula": "TaAs2Ru", "functional": "PBE", "state": "optimized geometry", "cell": [[10.3268, 0.0141, 0.0082], [9.8905, 2.9700, 0.0082], [9.8905, 1.4598, 2.5865]], "species": ["Ru", "As", "As", "Ta"], "frac_coords": [[0.4963, 0.4963, 0.4963], [0.0214, 0.0214, 0.0214], [0.2236, 0.2236, 0.2236], [0.7587, 0.7587, 0.7587]], "polymorph_energy_mev_per_atom": 127, "sg": "R3m"}



Number 1: energy -2.546 eV per atom. Number 2: energy -3.597 eV per atom. Number 3: energy -2.926 eV per atom. Number 4: energy -7.691 eV per atom.